(1)
Entry from the Alexandria database: a geometry-optimized Mg2CoGe2Ru structure (PBE-GGA).

Output
- formation energy from the elements (eV per atom) = -0.327
- magnetic moment (μB per atom) = 0.011
- raw total energy (eV per atom) = -5.1276
- theoretical density (g cm⁻³) = 5.864

a = 5.728 Å, b = 12.024 Å, c = 5.820 Å
α = 90.00°, β = 90.00°, γ = 90.00°
Space group Ibam (No. 72)
Inequivalent atoms, fractional coordinates:
Mg  0.249  0.157  0.000 x8
Co  0.000  0.000  0.250 x4
Ge  0.241  0.112  0.500 x8
Ru  0.000  0.500  0.250 x4

(2)
Entry from the Alexandria database: a geometry-optimized RbAgSb2Te structure (PBE-GGA).

Output
- magnetic moment (μB per atom) = 0.000
- raw total energy (eV per atom) = -2.9079
- theoretical density (g cm⁻³) = 5.377
- ΔE to the lowest computed polymorph (eV/f.u.) = 0.00

a = 5.470 Å, b = 5.470 Å, c = 5.826 Å
α = 90.00°, β = 90.00°, γ = 90.00°
Space group P4/mmm (No. 123)
Inequivalent atoms, fractional coordinates:
Rb  0.000  0.000  0.000 x1
Ag  0.500  0.500  0.500 x1
Sb  0.000  0.500  0.500 x2
Te  0.500  0.500  0.000 x1

(3)
Entry from the Alexandria database: a geometry-optimized K4Pt5 structure (PBE-GGA).

Output
- formation energy from the elements (eV per atom) = 0.377
- magnetic moment (μB per atom) = 0.001
- raw total energy (eV per atom) = -3.4669
- theoretical density (g cm⁻³) = 8.606

a = 9.785 Å, b = 9.785 Å, c = 4.562 Å
α = 90.00°, β = 90.00°, γ = 90.00°
Space group I4/mmm (No. 139)
Inequivalent atoms, fractional coordinates:
K  0.000  0.310  0.000 x8
Pt  0.000  0.000  0.000 x2
Pt  0.137  0.137  0.500 x8

(4)
Entry from the Alexandria database: a geometry-optimized TlTcAg2O4 structure (PBE-GGA).

Output
- magnetic moment (μB per atom) = 0.229
- raw total energy (eV per atom) = -5.4630
- theoretical density (g cm⁻³) = 6.861

a = 5.854 Å, b = 5.854 Å, c = 8.222 Å
α = 90.00°, β = 90.00°, γ = 90.00°
Space group I-42m (No. 121)
Inequivalent atoms, fractional coordinates:
Tl  0.000  0.000  0.000 x2
Tc  0.000  0.000  0.500 x2
Ag  0.000  0.500  0.250 x4
O  0.182  0.182  0.631 x8

(5)
Entry from the Alexandria database: a geometry-optimized ReTc2OsPt structure (PBE-GGA).

Output
- formation energy from the elements (eV per atom) = 2.620
- magnetic moment (μB per atom) = 0.000
- raw total energy (eV per atom) = -7.4705
- theoretical density (g cm⁻³) = 12.792

a = 4.611 Å, b = 4.611 Å, c = 4.686 Å
α = 90.00°, β = 90.00°, γ = 90.00°
Space group P4/mmm (No. 123)
Inequivalent atoms, fractional coordinates:
Re  0.000  0.000  0.000 x1
Tc  0.000  0.500  0.500 x2
Os  0.500  0.500  0.000 x1
Pt  0.500  0.500  0.500 x1

(6)
Entry from the Alexandria database: a geometry-optimized HoMn9Si4 structure (PBE-GGA).

Output
- magnetic moment (μB per atom) = 0.464
- raw total energy (eV per atom) = -8.1542
- theoretical density (g cm⁻³) = 7.210

a = 7.823 Å, b = 7.823 Å, c = 11.615 Å
α = 90.00°, β = 90.00°, γ = 90.00°
Space group I4/mcm (No. 140)
Inequivalent atoms, fractional coordinates:
Ho  0.000  0.000  0.250 x4
Mn  0.000  0.500  0.000 x4
Mn  0.058  0.190  0.000 x16
Mn  0.120  0.380  0.176 x16
Si  0.176  0.324  0.377 x16

(7)
Entry from the Alexandria database: a geometry-optimized Pa9Ga4Tc11 structure (PBE-GGA).

Output
- formation energy from the elements (eV per atom) = -0.190
- magnetic moment (μB per atom) = 0.000
- raw total energy (eV per atom) = -9.0063
- theoretical density (g cm⁻³) = 12.555

a = 13.330 Å, b = 20.712 Å, c = 3.292 Å
α = 90.00°, β = 90.00°, γ = 90.00°
Space group Cmmm (No. 65)
Inequivalent atoms, fractional coordinates:
Pa  0.000  0.000  0.000 x2
Pa  0.107  0.252  0.000 x8
Pa  0.140  0.426  0.000 x8
Ga  0.141  0.106  0.000 x8
Tc  0.000  0.147  0.500 x4
Tc  0.000  0.350  0.500 x4
Tc  0.000  0.500  0.500 x2
Tc  0.163  0.000  0.500 x4
Tc  0.241  0.332  0.500 x8

(8)
Entry from the Alexandria database: a geometry-optimized PrNdPt2 structure (PBE-GGA).

Output
- formation energy from the elements (eV per atom) = -1.135
- magnetic moment (μB per atom) = 0.000
- raw total energy (eV per atom) = -6.5422
- theoretical density (g cm⁻³) = 11.352
- ΔE to the lowest computed polymorph (eV/f.u.) = 0.00

a = 4.578 Å, b = 3.947 Å, c = 10.934 Å
α = 90.00°, β = 90.00°, γ = 90.00°
Space group Amm2 (No. 38)
Inequivalent atoms, fractional coordinates:
Pr  0.000  0.000  0.000 x2
Nd  0.500  0.000  0.726 x2
Pt  0.000  0.000  0.275 x2
Pt  0.500  0.000  0.450 x2

Q: Which of these has the highest raw total energy?
A: RbAgSb2Te